Density functional theory data (PBE with a Hubbard U) for a relaxed structure of RbPmMoO4.

The calculation puts the mass density at 5.3 g cm⁻³. Its total DFT energy (no corrections) is -6.863 eV/atom.

It has space group Imma (No. 74), with a = 6.717 Å, b = 7.490 Å, c = 9.644 Å, α = 90.00°, β = 90.00° and γ = 90.00°. The asymmetric unit holds Rb at (0.000, 0.250, 0.140), Pm at (0.000, 0.000, 0.500), Mo at (0.250, 0.250, 0.750), O at (0.000, 0.073, 0.742) and O at (0.213, 0.250, 0.537).